Record 1
Here is a relaxed structure of ReOsCl2 from Alexandria via LeMat-Bulk. Energies are from GGA-PBEsol.

a b c (Å): 2.759 2.759 8.329
angles (deg): 90.00 90.00 90.00
Element x y z (fractional)
Re: 0.000 0.000 0.000
Os: 0.000 0.000 0.500
Cl: 0.500 0.500 0.197
Cl: 0.500 0.500 0.803

The calculation puts the uncorrected formation energy at 1.63 eV per atom.

Record 2
Here is a relaxed structure of Ca2LaRu from Alexandria via LeMat-Bulk. Energies are from GGA-PBEsol.

a b c (Å): 3.489 3.489 9.603
angles (deg): 90.00 90.00 90.15
Element x y z (fractional)
Ca: 0.000 0.000 0.000
Ca: 0.500 0.500 0.327
La: 0.000 0.000 0.655
Ru: 0.500 0.500 0.810

The energy relative to the elements is 0.03 eV/atom.

Record 3
Here is a relaxed structure of CrTe4Au from Alexandria via LeMat-Bulk. Energies are from GGA-PBEsol.

a b c (Å): 5.372 4.014 7.230
angles (deg): 90.00 90.09 90.00
Element x y z (fractional)
Cr: 0.000 0.000 0.000
Te: 0.238 0.000 0.324
Te: 0.290 0.500 0.873
Te: 0.710 0.500 0.127
Te: 0.762 0.000 0.676
Au: 0.000 0.500 0.500

The calculation puts the uncorrected formation energy at -0.11 eV per atom.

Record 4
Here is a relaxed structure of CoMo5 from Alexandria via LeMat-Bulk. Energies are from GGA-PBEsol.

a b c (Å): 5.074 5.074 5.074
angles (deg): 60.00 60.00 60.00
Element x y z (fractional)
Co: 0.000 0.000 0.000
Mo: 0.375 0.375 0.375
Mo: 0.375 0.375 0.875
Mo: 0.375 0.875 0.375
Mo: 0.750 0.750 0.750
Mo: 0.875 0.375 0.375

The energy relative to the elements is 0.51 eV/atom.

Record 5
Here is a relaxed structure of BaNiTe2 from Alexandria via LeMat-Bulk. Energies are from GGA-PBEsol.

a b c (Å): 7.565 7.565 7.565
angles (deg): 32.85 32.85 32.85
Element x y z (fractional)
Ba: 0.000 0.000 0.000
Ni: 0.500 0.500 0.500
Te: 0.225 0.225 0.225
Te: 0.775 0.775 0.775

The calculation puts the uncorrected formation energy at -0.56 eV per atom.

Record 6
Here is a relaxed structure of LaPbN2O from Alexandria via LeMat-Bulk. Energies are from GGA-PBEsol.

a b c (Å): 4.390 4.390 4.491
angles (deg): 90.00 90.00 90.00
Element x y z (fractional)
La: 0.000 0.000 0.000
Pb: 0.500 0.500 0.500
N: 0.000 0.500 0.000
N: 0.500 0.000 0.000
O: 0.000 0.000 0.500

The calculation puts the uncorrected formation energy at 0.14 eV per atom.

Please write out number 3 again, unchanged.
Here is a relaxed structure of CrTe4Au from Alexandria via LeMat-Bulk. Energies are from GGA-PBEsol.

a b c (Å): 5.372 4.014 7.230
angles (deg): 90.00 90.09 90.00
Element x y z (fractional)
Cr: 0.000 0.000 0.000
Te: 0.238 0.000 0.324
Te: 0.290 0.500 0.873
Te: 0.710 0.500 0.127
Te: 0.762 0.000 0.676
Au: 0.000 0.500 0.500

The calculation puts the uncorrected formation energy at -0.11 eV per atom.